Material: ScTi3Ir
Method: DFT, PBE-GGA
State: relaxed

CIF file:
```
data_ScTi3Ir
_cell_length_a 4.7818
_cell_length_b 4.7818
_cell_length_c 4.7818
_cell_angle_alpha 90.00
_cell_angle_beta 90.00
_cell_angle_gamma 90.00
_space_group_name_H-M_alt 'P 1'
_space_group_IT_number 1
_space_group_name_Hall 'P 1'
loop_
_atom_site_label
_atom_site_type_symbol
_atom_site_fract_x
_atom_site_fract_y
_atom_site_fract_z
Sc1 Sc 0.0000 0.0000 0.0000
Ti1 Ti 0.0000 0.5000 0.5000
Ti2 Ti 0.5000 0.0000 0.5000
Ti3 Ti 0.5000 0.5000 0.0000
Ir1 Ir 0.5000 0.5000 0.5000
```

Properties
- excess energy over the best structure of this formula in the dataset (eV per formula unit) = 0.00
- calculated total energy (eV per cell) = -38.02
- SG = Pm-3m
- ΔH_f (0 K) (eV/atom) = 0.1724